Entry 1:
Material: NdBi
Method: DFT, PBE-GGA
State: relaxed

Cell: 4.356 12.226 4.870 Å, 90.00 90.00 90.00°
Space group Cmcm (No. 63)
Asymmetric unit:
Nd1 0.000 0.124 0.250 x4
Bi1 0.000 0.386 0.250 x4

Computed properties:
* density: 9.05 g/cm³
* raw total energy: -10.51 eV/f.u.
* M_tot: 0.0 μB/f.u.

---

Entry 2:
Material: Nd2SiAu
Method: DFT, PBE-GGA
State: relaxed

Cell: 4.388 5.958 7.872 Å, 90.00 90.00 90.00°
Space group Pmc2_1 (No. 26)
Asymmetric unit:
Nd1 0.000 0.112 0.000 x2
Nd2 0.500 0.376 0.360 x2
Si1 0.500 0.112 0.719 x2
Au1 0.000 0.387 0.642 x2

Computed properties:
* density: 8.29 g/cm³
* raw total energy: -21.12 eV/f.u.
* M_tot: 0.1 μB/f.u.

---

Entry 3:
Material: KTbPbSe3
Method: DFT, PBE-GGA
State: relaxed

Cell: 4.207 17.624 12.055 Å, 90.00 90.00 90.00°
Space group Cmcm (No. 63)
Asymmetric unit:
K1 0.000 0.156 0.250 x4
Tb1 0.000 0.500 0.000 x4
Pb1 0.000 0.112 0.750 x4
Se1 0.000 0.112 0.502 x8
Se2 0.000 0.499 0.250 x4

Computed properties:
* density: 4.77 g/cm³
* raw total energy: -27.04 eV/f.u.
* M_tot: 0.0 μB/f.u.

---

Entry 4:
Material: Pm3CdN
Method: DFT, PBE-GGA
State: relaxed

Cell: 4.980 4.980 4.980 Å, 90.00 90.00 90.00°
Space group Pm-3m (No. 221)
Asymmetric unit:
Pm1 0.000 0.000 0.500 x3
Cd1 0.500 0.500 0.500 x1
N1 0.000 0.000 0.000 x1

Computed properties:
* density: 7.55 g/cm³
* raw total energy: -27.18 eV/f.u.
* M_tot: 0.0 μB/f.u.